No. 1
# Sc2Ti3Ga4

Crystalline Sc2Ti3Ga4 at its relaxed geometry (GGA-PBE, the Alexandria database).

Cell: 5.8700 7.7725 7.8629 Å, 90.00 111.92 90.00°
Last column: nearest neighbours and their distance in Å.
Positions (direct):
Sc1 0.3835 0.0872 0.7670  6 Ga 2.88-3.11, 2 Ti 3.22
Sc2 0.6165 0.9128 0.2330  6 Ga 2.88-3.11, 2 Ti 3.22
Sc3 0.8835 0.4128 0.7670  6 Ga 2.88-3.11, 2 Ti 3.22
Sc4 0.1165 0.5872 0.2330  6 Ga 2.88-3.11, 2 Ti 3.22
Ti1 0.9568 0.2500 0.4137  5 Ga 2.58-2.79
Ti2 0.5432 0.7500 0.5863  5 Ga 2.58-2.79
Ti3 0.0000 0.0000 0.0000  6 Ga 2.47-2.71
Ti4 0.5000 0.5000 0.0000  6 Ga 2.47-2.71
Ti5 0.0432 0.7500 0.5863  5 Ga 2.58-2.79
Ti6 0.4568 0.2500 0.4137  5 Ga 2.58-2.79
Ga1 0.7798 0.2500 0.0595  3 Ti 2.47-2.58
Ga2 0.3163 0.4471 0.6325  5 Ti 2.65-2.79, 1 Sc 2.96
Ga3 0.6837 0.5529 0.3675  5 Ti 2.65-2.79, 1 Sc 2.96
Ga4 0.2202 0.7500 0.9405  3 Ti 2.47-2.58
Ga5 0.7202 0.7500 0.9405  3 Ti 2.47-2.58
Ga6 0.2798 0.2500 0.0595  3 Ti 2.47-2.58
Ga7 0.8163 0.0529 0.6325  5 Ti 2.65-2.79, 1 Sc 2.96
Ga8 0.1837 0.9471 0.3675  5 Ti 2.65-2.79, 1 Sc 2.96

The calculation puts the energy of formation from the pure elements at -7.63 kcal/mol of atoms. The total energy is -5.7148 eV/atom. The energy above the lowest structure with this stoichiometry comes out at 165 meV per atom.

---

No. 2
# Sc3TiGa12

Crystalline Sc3TiGa12 at its relaxed geometry (GGA-PBE, the Alexandria database).

Cell: 4.0826 4.0826 16.3670 Å, 90.00 90.00 90.00°
Last column: nearest neighbours and their distance in Å.
Positions (direct):
Ga1 0.0000 0.5000 0.6265  8 Ga 2.89-2.91, 4 Sc 2.91-2.93
Ga2 0.0000 0.5000 0.1203  2 Ti 2.84, 8 Ga 2.84-2.92, 2 Sc 2.89
Ga3 0.5000 0.5000 0.0000  8 Ga 2.84, 4 Ti 2.89
Ga4 0.5000 0.0000 0.1203  8 Ga 2.84-2.92, 2 Ti 2.84, 2 Sc 2.89
Ga5 0.0000 0.5000 0.3735  8 Ga 2.89-2.91, 4 Sc 2.91-2.93
Ga6 0.0000 0.5000 0.8797  2 Ti 2.84, 8 Ga 2.84-2.92, 2 Sc 2.89
Ga7 0.5000 0.5000 0.7520  4 Sc 2.89, 8 Ga 2.90-2.92
Ga8 0.5000 0.5000 0.5000  4 Sc 2.89, 8 Ga 2.91
Ga9 0.5000 0.5000 0.2480  4 Sc 2.89, 8 Ga 2.90-2.92
Ga10 0.5000 0.0000 0.3735  8 Ga 2.89-2.91, 4 Sc 2.91-2.93
Ga11 0.5000 0.0000 0.8797  2 Ti 2.84, 8 Ga 2.84-2.92, 2 Sc 2.89
Ga12 0.5000 0.0000 0.6265  8 Ga 2.89-2.91, 4 Sc 2.91-2.93
Ti1 0.0000 0.0000 0.0000  12 Ga 2.84-2.89
Sc1 0.0000 0.0000 0.5000  12 Ga 2.89-2.91
Sc2 0.0000 0.0000 0.7546  12 Ga 2.89-2.93
Sc3 0.0000 0.0000 0.2454  12 Ga 2.89-2.93

The calculation puts the energy of formation from the pure elements at -10.52 kcal/mol of atoms. The total energy is -4.4068 eV/atom.

---

No. 3
# Sc2Ti3Ga4

Crystalline Sc2Ti3Ga4 at its relaxed geometry (GGA-PBE, the Alexandria database).

Cell: 6.8515 7.0951 7.0795 Å, 90.00 90.00 108.91°
Last column: nearest neighbours and their distance in Å.
Positions (direct):
Ti1 0.5000 0.5000 0.0000  6 Ga 2.69-2.84
Ti2 0.7457 0.2521 0.8210  6 Ga 2.60-2.73
Ti3 0.2457 0.2521 0.6790  6 Ga 2.60-2.73
Ti4 0.0000 0.5000 0.5000  6 Ga 2.69-2.84
Ti5 0.2543 0.7479 0.1790  6 Ga 2.60-2.73
Ti6 0.7543 0.7479 0.3210  6 Ga 2.60-2.73
Ga1 0.3574 0.0793 0.9630  4 Ti 2.60-2.84, 1 Ga 2.60, 1 Sc 2.79
Ga2 0.1426 0.9207 0.4630  4 Ti 2.60-2.84, 1 Ga 2.60, 1 Sc 2.79
Ga3 0.8574 0.0793 0.5370  4 Ti 2.60-2.84, 1 Ga 2.60, 1 Sc 2.79
Ga4 0.6426 0.9207 0.0370  4 Ti 2.60-2.84, 1 Ga 2.60, 1 Sc 2.79
Ga5 0.3661 0.4882 0.3716  1 Ga 2.55, 5 Ti 2.60-2.78, 1 Sc 2.82
Ga6 0.6339 0.5118 0.6284  1 Ga 2.55, 5 Ti 2.60-2.78, 1 Sc 2.82
Ga7 0.8661 0.4882 0.1284  1 Ga 2.55, 5 Ti 2.60-2.78, 1 Sc 2.82
Ga8 0.1339 0.5118 0.8716  1 Ga 2.55, 5 Ti 2.60-2.78, 1 Sc 2.82
Sc1 0.4351 0.8097 0.6700  7 Ga 2.79-3.05
Sc2 0.0649 0.1903 0.1700  7 Ga 2.79-3.05
Sc3 0.5649 0.1903 0.3300  7 Ga 2.79-3.05
Sc4 0.9351 0.8097 0.8300  7 Ga 2.79-3.05

The calculation puts the energy of formation from the pure elements at -11.43 kcal/mol of atoms. The total energy is -5.8795 eV/atom. The energy above the lowest structure with this stoichiometry comes out at 0 meV per atom.

---

No. 4
# ScTiGa2

Crystalline ScTiGa2 at its relaxed geometry (GGA-PBE, the Alexandria database).

Cell: 2.9506 2.9477 8.4427 Å, 110.41 89.98 90.00°
Last column: nearest neighbours and their distance in Å.
Positions (direct):
Ga1 0.7838 0.1810 0.9659  4 Ti 2.81, 4 Sc 2.94, 4 Ga 2.95
Ga2 0.7838 0.7064 0.4904  4 Ti 2.81, 4 Sc 2.94, 4 Ga 2.95
Ti1 0.2838 0.4436 0.7282  8 Ga 2.81, 4 Ti 2.95
Sc1 0.2839 0.9436 0.2282  8 Ga 2.94, 4 Sc 2.95

The calculation puts the energy of formation from the pure elements at -11.45 kcal/mol of atoms. The total energy is -5.5664 eV/atom. The energy above the lowest structure with this stoichiometry comes out at 0 meV per atom.

---

No. 5
# ScTiGa2

Crystalline ScTiGa2 at its relaxed geometry (GGA-PBE, the Alexandria database).

Cell: 3.9894 4.1683 4.1683 Å, 90.00 90.00 90.00°
Last column: nearest neighbours and their distance in Å.
Positions (direct):
Ga1 0.0000 0.0000 0.5000  4 Sc 2.88, 4 Ti 2.88, 4 Ga 2.95
Ga2 0.0000 0.5000 0.0000  4 Sc 2.88, 4 Ti 2.88, 4 Ga 2.95
Sc1 0.5000 0.5000 0.5000  8 Ga 2.88, 4 Ti 2.95
Ti1 0.5000 0.0000 0.0000  8 Ga 2.88, 4 Sc 2.95

The calculation puts the energy of formation from the pure elements at -10.77 kcal/mol of atoms. The total energy is -5.5369 eV/atom. The energy above the lowest structure with this stoichiometry comes out at 29 meV per atom.

---

No. 6
# ScTi3Ga

Crystalline ScTi3Ga at its relaxed geometry (GGA-PBE, the Alexandria database).

Cell: 4.7865 4.7865 4.7865 Å, 90.00 90.00 90.00°
Last column: nearest neighbours and their distance in Å.
Positions (direct):
Ti1 0.5000 0.0000 0.0000  2 Ga 2.39
Ti2 0.0000 0.5000 0.0000  2 Ga 2.39
Ti3 0.0000 0.0000 0.5000  2 Ga 2.39
Ga1 0.0000 0.0000 0.0000  6 Ti 2.39
Sc1 0.5000 0.5000 0.5000  12 Ti 3.38

The calculation puts the energy of formation from the pure elements at 11.75 kcal/mol of atoms. The total energy is -6.0993 eV/atom. The energy above the lowest structure with this stoichiometry comes out at 0 meV per atom.

---

No. 7
# ScTi2Ga

Crystalline ScTi2Ga at its relaxed geometry (GGA-PBE, the Alexandria database).

Cell: 2.9142 2.9142 10.3166 Å, 81.88 81.88 60.00°
Last column: nearest neighbours and their distance in Å.
Positions (direct):
Sc1 0.0000 0.0000 0.0000  2 Ti 2.84, 6 Sc 2.91
Ti1 0.0931 0.0931 0.7207  3 Ga 2.81, 1 Sc 2.84, 6 Ti 2.91
Ti2 0.9069 0.9069 0.2793  3 Ga 2.81, 1 Sc 2.84, 6 Ti 2.91
Ga1 0.5000 0.5000 0.5000  6 Ti 2.81, 6 Ga 2.91

The calculation puts the energy of formation from the pure elements at 3.15 kcal/mol of atoms. The total energy is -6.1503 eV/atom.

---

No. 8
# ScTi2Ga6

Crystalline ScTi2Ga6 at its relaxed geometry (GGA-PBE, the Alexandria database).

Cell: 3.9957 7.3330 7.3330 Å, 51.93 74.19 74.19°
Last column: nearest neighbours and their distance in Å.
Positions (direct):
Ga1 0.3085 0.3953 0.9876  4 Ga 2.49-2.62, 1 Ti 2.76
Ga2 0.6915 0.0124 0.6047  4 Ga 2.49-2.62, 1 Ti 2.76
Ga3 0.3085 0.9876 0.3953  4 Ga 2.49-2.62, 1 Ti 2.76
Ga4 0.6915 0.6047 0.0124  4 Ga 2.49-2.62, 1 Ti 2.76
Ga5 0.5000 0.6937 0.3063  3 Ga 2.49, 4 Ti 2.76
Ga6 0.5000 0.3063 0.6937  3 Ga 2.49, 4 Ti 2.76
Sc1 0.0000 0.0000 0.0000  4 Ga 2.80
Ti1 0.1154 0.3846 0.3846  10 Ga 2.76-2.92, 1 Ti 2.90
Ti2 0.8846 0.6154 0.6154  10 Ga 2.76-2.92, 1 Ti 2.90

The calculation puts the energy of formation from the pure elements at -7.78 kcal/mol of atoms. The total energy is -4.8133 eV/atom.